No. 1
La3CrO, relaxed, DFT PBE+U; calculated total energy = -29.2 eV/cell; total moment = 0.964 μB per formula unit; energy above the lowest structure with this stoichiometry = 0 meV/atom
1.0
5.025 0.000 0.000
0.000 5.025 0.000
0.000 0.000 5.025
La Cr O
3 1 1
Cartesian
0.000 0.000 2.512
0.000 2.512 0.000
2.512 0.000 0.000
2.512 2.512 2.512
0.000 0.000 0.000

---

No. 2
LaCrO2, relaxed, DFT PBE+U; calculated total energy = -31.7 eV/cell; total moment = 4.442 μB per formula unit; energy above the lowest structure with this stoichiometry = 0 meV/atom
1.0
1.879 1.085 6.119
-1.879 1.085 6.119
0.000 -2.170 6.119
La Cr O
1 1 2
Cartesian
0.000 0.000 0.000
0.000 0.000 9.178
0.000 0.000 7.202
0.000 0.000 11.154

---

No. 3
La3CrO6, relaxed, DFT PBE+U; calculated total energy = -164.2 eV/cell; total moment = 3.000 μB per formula unit
1.0
4.722 -5.932 0.000
4.722 5.932 0.000
0.000 0.000 5.785
La Cr O
6 2 12
Cartesian
4.722 4.693 2.892
2.875 1.289 2.688
2.875 -1.289 5.580
6.570 1.289 2.688
6.570 -1.289 5.580
4.722 -4.693 0.000
4.722 2.229 5.360
4.722 -2.229 2.468
3.294 3.063 4.397
1.502 0.132 4.217
1.502 -0.132 1.325
4.722 2.556 1.501
6.151 3.063 4.397
4.722 0.574 4.329
4.722 -0.574 1.436
3.294 -3.063 1.504
4.722 -2.556 4.393
7.942 0.132 4.217
7.942 -0.132 1.325
6.151 -3.063 1.504

---

No. 4
LaCr3O, relaxed, DFT PBE+U; calculated total energy = -32.2 eV/cell; total moment = 12.885 μB per formula unit
1.0
4.614 0.000 0.000
0.000 4.614 0.000
0.000 0.000 4.614
La Cr O
1 3 1
Cartesian
0.000 0.000 0.000
0.000 2.307 2.307
2.307 0.000 2.307
2.307 2.307 0.000
2.307 2.307 2.307

---

No. 5
LaCrO2, relaxed, DFT PBE+U; calculated total energy = -56.1 eV/cell; total moment = 0.223 μB per formula unit; energy above the lowest structure with this stoichiometry = 911 meV/atom
1.0
-2.518 2.518 5.246
2.518 -2.518 5.246
2.518 2.518 -5.246
La Cr O
2 2 4
Cartesian
0.000 0.000 0.000
0.000 2.518 2.623
2.518 0.000 2.623
0.000 0.000 5.246
1.259 -0.992 3.934
1.526 1.259 1.311
1.259 3.510 -1.311
0.992 1.259 6.557

---

No. 6
LaCrO2, relaxed, DFT PBE+U; calculated total energy = -29.0 eV/cell; total moment = 3.245 μB per formula unit; energy above the lowest structure with this stoichiometry = 687 meV/atom
1.0
1.656 0.956 6.590
-1.656 0.956 6.590
0.000 -1.912 6.590
La Cr O
1 1 2
Cartesian
0.000 0.000 0.000
0.000 0.000 9.885
0.000 0.000 2.341
0.000 0.000 17.429

---

No. 7
LaCrO2, relaxed, DFT PBE+U; calculated total energy = -27.1 eV/cell; total moment = 1.000 μB per formula unit; energy above the lowest structure with this stoichiometry = 1163 meV/atom
1.0
0.000 2.941 2.941
2.941 0.000 2.941
2.941 2.941 0.000
La Cr O
1 1 2
Cartesian
0.000 0.000 0.000
2.941 2.941 2.941
1.471 1.471 1.471
4.412 4.412 4.412

---

No. 8
La3Cr5O12, relaxed, DFT PBE+U; calculated total energy = -639.1 eV/cell; total moment = 15.000 μB per formula unit
1.0
-6.465 6.465 6.465
6.465 -6.465 6.465
6.465 6.465 -6.465
La Cr O
12 20 48
Cartesian
3.233 1.616 0.000
6.465 3.233 -1.616
1.616 0.000 3.233
8.082 0.000 3.233
0.000 3.233 1.616
3.233 -1.616 6.465
3.233 8.082 0.000
6.465 3.233 4.849
-1.616 6.465 3.233
4.849 6.465 3.233
0.000 3.233 8.082
3.233 4.849 6.465
0.000 0.000 0.000
3.233 3.233 -3.233
3.233 -3.233 3.233
6.465 0.000 0.000
9.698 1.616 0.000
6.465 -3.233 4.849
4.849 6.465 -3.233
4.849 0.000 3.233
3.233 4.849 0.000
6.465 3.233 1.616
-3.233 3.233 3.233
0.000 6.465 0.000
0.000 0.000 6.465
3.233 3.233 3.233
0.000 3.233 4.849
3.233 1.616 6.465
1.616 6.465 3.233
1.616 0.000 9.698
0.000 9.698 1.616
-3.233 4.849 6.465
1.943 -0.327 0.607
7.755 3.840 -3.559
8.408 0.327 0.607
7.755 -2.626 3.559
6.139 -0.607 1.943
10.024 -1.290 2.626
0.607 1.943 -0.327
9.091 2.906 -1.290
3.840 3.559 -1.290
5.858 1.943 0.327
-0.327 0.607 1.943
3.559 -1.290 3.840
6.139 5.858 -1.943
3.559 1.290 2.626
3.840 -3.559 7.755
5.858 -1.943 6.139
2.626 3.559 1.290
7.072 4.522 0.327
3.559 7.755 -2.626
6.139 0.607 4.522
1.943 6.139 -0.607
7.755 2.626 2.906
1.290 2.626 3.559
1.943 0.327 5.858
4.522 6.139 0.607
5.176 3.840 2.906
-1.290 3.840 3.559
4.522 0.327 7.072
0.327 5.858 1.943
2.906 -1.290 9.091
-0.607 1.943 6.139
3.840 2.906 5.176
0.607 8.408 0.327
2.626 10.024 -1.290
2.906 5.176 3.840
0.327 0.607 8.408
2.906 7.755 2.626
6.792 5.858 4.522
0.607 4.522 6.139
2.626 2.906 7.755
-2.626 3.559 7.755
5.858 4.522 6.792
-3.559 7.755 3.840
0.327 7.072 4.522
-1.290 9.091 2.906
-1.943 6.139 5.858
-1.290 2.626 10.024
4.522 6.792 5.858

---

No. 9
LaCr3O12, relaxed, DFT PBE+U; calculated total energy = -211.3 eV/cell; total moment = 3.001 μB per formula unit
1.0
4.276 2.469 9.528
-4.276 2.469 9.528
0.000 -4.938 9.528
La Cr O
2 6 24
Cartesian
0.000 0.000 0.000
0.000 0.000 14.293
-1.250 -2.388 11.188
-2.833 -0.192 15.952
-1.443 2.277 11.188
1.583 -2.358 15.952
2.693 0.111 11.188
1.250 2.550 15.952
-1.597 0.791 6.037
0.113 -1.779 6.037
-3.153 -1.201 17.256
-0.245 -2.395 9.857
-2.325 -1.059 14.622
-1.951 1.410 9.857
-0.537 -1.607 12.492
-2.730 -1.635 21.004
-1.123 1.268 12.492
-1.547 0.834 16.240
1.484 0.988 6.037
0.051 -1.756 16.240
-0.113 -1.779 20.329
-1.484 0.988 20.329
1.660 0.339 12.492
2.080 -1.484 14.622
2.196 0.985 9.857
0.245 2.543 14.622
2.617 -2.130 17.256
1.495 0.923 16.240
0.537 3.331 17.256
-0.051 3.181 21.004
1.597 0.791 20.329
2.781 -1.546 21.004

---

No. 10
La2CrO6, relaxed, DFT PBE+U; calculated total energy = -68.3 eV/cell; total moment = 0.000 μB per formula unit; energy above the lowest structure with this stoichiometry = 226 meV/atom
1.0
2.863 1.653 4.212
-2.863 1.653 4.212
0.000 -3.306 4.212
La Cr O
2 1 6
Cartesian
0.000 0.000 3.092
0.000 0.000 9.543
0.000 0.000 6.318
-1.491 0.292 5.274
-0.999 -1.146 7.362
0.493 -1.438 5.274
-0.493 1.438 7.362
0.999 1.146 5.274
1.491 -0.292 7.362

---

No. 11
La2CrO6, relaxed, DFT PBE+U; calculated total energy = -140.6 eV/cell; total moment = 0.000 μB per formula unit; energy above the lowest structure with this stoichiometry = 0 meV/atom
1.0
7.269 -2.216 0.000
7.269 2.216 0.000
-2.536 0.000 8.117
La Cr O
4 2 12
Cartesian
2.262 0.029 0.689
0.993 -0.029 4.747
11.008 0.029 3.370
9.740 -0.029 7.428
5.367 0.188 6.088
6.635 -0.188 2.029
5.323 0.745 1.634
5.753 1.178 4.802
2.763 0.096 3.065
4.981 1.178 7.373
1.495 -0.096 7.123
7.947 0.745 2.425
4.055 -0.745 5.692
10.507 0.096 0.993
7.021 -1.178 0.743
9.238 -0.096 5.052
6.249 -1.178 3.315
6.679 -0.745 6.483

---

No. 12
LaCr2OsO8, relaxed, DFT PBE+U; calculated total energy = -92.0 eV/cell; total moment = 5.282 μB per formula unit
1.0
4.748 0.000 0.000
0.000 6.574 0.000
-0.123 0.000 4.750
La Cr Os O
1 2 1 8
Cartesian
0.000 0.000 0.000
2.312 1.641 2.375
2.312 4.933 2.375
0.000 3.287 0.000
0.941 1.954 0.962
0.941 4.620 0.962
1.274 3.287 3.382
1.483 0.000 3.176
3.142 0.000 1.574
3.350 3.287 1.367
3.684 1.954 3.788
3.684 4.620 3.788

---

No. 13
LaCrP2O8, relaxed, DFT PBE+U; calculated total energy = -93.6 eV/cell; total moment = 2.969 μB per formula unit
1.0
4.989 0.000 0.000
-2.494 4.320 0.000
0.000 0.000 6.958
La Cr P O
1 1 2 8
Cartesian
0.000 0.000 0.000
0.000 0.000 3.479
0.000 2.880 5.236
2.494 1.440 1.722
-0.397 1.456 4.780
-1.035 3.937 4.780
0.000 2.880 6.780
1.062 1.072 2.178
1.432 3.248 4.780
2.494 1.440 0.178
3.529 0.384 2.178
2.892 2.865 2.178

---

No. 14
LaCrP2O, relaxed, DFT PBE+U; calculated total energy = -32.0 eV/cell; total moment = 1.646 μB per formula unit; energy above the lowest structure with this stoichiometry = 0 meV/atom
1.0
4.921 0.000 0.000
0.000 4.921 0.000
0.000 0.000 3.766
La Cr P O
1 1 2 1
Cartesian
0.000 0.000 0.000
2.460 2.460 1.883
0.000 2.460 1.883
2.460 0.000 1.883
2.460 2.460 0.000

---

No. 15
LaCrP2O, relaxed, DFT PBE+U; calculated total energy = -27.7 eV/cell; total moment = 2.381 μB per formula unit; energy above the lowest structure with this stoichiometry = 853 meV/atom
1.0
5.699 0.000 0.000
0.000 5.699 0.000
0.000 0.000 4.248
La Cr P O
1 1 2 1
Cartesian
0.000 0.000 0.000
2.850 2.850 2.124
0.000 2.850 0.000
2.850 0.000 0.000
0.000 0.000 2.124

---

No. 16
LaPmCr2O8, relaxed, DFT PBE+U; calculated total energy = -92.1 eV/cell; total moment = 2.000 μB per formula unit
1.0
-3.727 3.727 3.239
3.727 -3.727 3.239
3.727 3.727 -3.239
La Pm Cr O
1 1 2 8
Cartesian
0.000 0.000 0.000
3.727 0.000 1.619
0.000 0.000 3.239
0.000 3.727 1.619
2.370 3.727 -1.070
1.357 0.000 2.169
0.000 2.401 0.517
3.727 2.370 1.070
0.000 5.054 0.517
0.000 1.357 4.309
-1.327 3.727 2.722
1.327 3.727 2.722

---

No. 17
LaPrCr2O8, relaxed, DFT PBE+U; calculated total energy = -92.2 eV/cell; total moment = 2.000 μB per formula unit
1.0
-3.744 3.744 3.260
3.744 -3.744 3.260
3.744 3.744 -3.260
La Pr Cr O
1 1 2 8
Cartesian
0.000 0.000 0.000
0.000 3.744 1.630
3.744 0.000 1.630
0.000 0.000 3.260
2.413 0.000 0.530
5.074 0.000 0.530
3.744 2.418 -1.107
3.744 -1.331 2.729
0.000 1.326 2.152
3.744 1.331 2.729
2.418 3.744 1.107
1.326 0.000 4.367

---

No. 18
Rb2LaCrO4, relaxed, DFT PBE+U; calculated total energy = -50.4 eV/cell; total moment = 2.999 μB per formula unit
1.0
5.958 0.000 0.000
0.000 3.494 0.000
-2.054 0.000 6.480
Rb La Cr O
2 1 1 4
Cartesian
0.000 0.000 0.000
2.979 1.747 0.000
-1.027 1.747 3.240
1.952 0.000 3.240
0.182 0.000 4.367
1.125 1.747 2.137
2.779 1.747 4.343
3.723 0.000 2.113

---

No. 19
Rb4La3CrO8, relaxed, DFT PBE+U; calculated total energy = -102.4 eV/cell; total moment = 2.965 μB per formula unit
1.0
3.613 2.086 6.551
-3.613 2.086 6.551
0.000 -4.172 6.551
Rb La Cr O
4 3 1 8
Cartesian
0.000 0.000 0.000
-1.806 -1.043 6.551
-1.806 1.043 13.102
0.000 2.086 6.551
-3.613 0.000 9.827
-1.806 1.043 3.276
1.806 1.043 3.276
0.000 0.000 9.827
0.000 0.000 4.483
-1.648 -0.951 10.965
0.000 -1.903 8.688
-1.648 0.951 8.688
1.648 -0.951 10.965
0.000 1.903 10.965
1.648 0.951 8.688
0.000 0.000 15.170